This record from Alexandria describes Al2In2Ag7 after structural relaxation. The functional is GGA-PBE.

Lattice parameters (Å, degrees): 4.611 7.362 7.362 63.91 71.75 71.75
Fractional positions:
Ag (0.877, 0.391, 0.855)
Ag (0.131, 0.769, 0.968)
Ag (0.869, 0.032, 0.231)
Ag (0.625, 0.555, 0.195)
Ag (0.500, 0.034, 0.966)
Ag (0.123, 0.145, 0.609)
Ag (0.375, 0.805, 0.445)
Al (0.500, 0.375, 0.625)
Al (0.000, 0.591, 0.409)
In (0.263, 0.315, 0.159)
In (0.737, 0.841, 0.685)

Total magnetization, μB per atom: 0.000
Final energy, eV/atom: -2.97
ΔH_f (0 K), meV/atom: 20